# 1
Tm8Sb2C3, optimized geometry, DFT PBE-GGA; space-group type = C2/m, No. 12
1.0
7.436 -3.577 0.000
7.436 3.577 0.000
-1.779 0.000 6.028
Tm Sb C
8 2 3
Cartesian
0.644 0.000 2.385
5.885 1.856 0.671
7.208 1.856 5.357
5.011 0.000 3.559
8.082 0.000 2.469
5.885 -1.856 0.671
7.208 -1.856 5.357
12.449 0.000 3.643
2.309 0.000 4.948
10.784 0.000 1.080
0.000 0.000 0.000
6.546 1.769 3.014
6.546 -1.769 3.014

# 2
Tm2SbC, optimized geometry, DFT PBE-GGA; space-group type = R-3m, No. 166
1.0
3.619 0.000 0.000
-1.809 3.134 0.000
0.000 0.000 22.314
Tm Sb C
6 3 3
Cartesian
0.000 0.000 5.017
0.000 0.000 17.296
0.000 2.089 9.858
0.000 2.089 19.893
1.809 1.045 2.420
1.809 1.045 12.455
0.000 0.000 0.000
0.000 2.089 14.876
1.809 1.045 7.438
0.000 0.000 11.157
0.000 2.089 3.719
1.809 1.045 18.595

# 3
Tm6Sb3C2, optimized geometry, DFT PBE-GGA; space-group type = I4/mmm, No. 139
1.0
-2.340 2.340 12.324
2.340 -2.340 12.324
2.340 2.340 -12.324
Tm Sb C
6 3 2
Cartesian
2.340 0.000 2.091
0.000 0.000 4.727
2.340 0.000 10.233
0.000 2.340 2.091
0.000 0.000 19.921
0.000 2.340 10.233
0.000 0.000 7.883
0.000 0.000 12.324
0.000 0.000 16.765
0.000 0.000 2.489
0.000 0.000 22.159

# 4
Tm12Sb6C, optimized geometry, DFT PBE-GGA; space-group type = R-3, No. 148
1.0
6.309 3.643 3.904
-6.309 3.643 3.904
0.000 -7.285 3.904
Tm Sb C
12 6 1
Cartesian
-0.399 -1.937 1.418
-1.478 1.314 1.418
-2.190 -0.375 4.518
1.877 0.623 1.418
1.419 -1.709 4.518
-0.770 -2.084 7.195
0.770 2.084 4.518
-1.419 1.709 7.195
-1.877 -0.623 10.294
2.190 0.375 7.195
1.478 -1.314 10.294
0.399 1.937 10.294
-1.167 -3.205 4.167
-2.193 2.613 4.167
-3.359 -0.592 7.545
3.359 0.592 4.167
2.193 -2.613 7.545
1.167 3.205 7.545
0.000 0.000 0.000

# 5
Tm6SbC, optimized geometry, DFT PBE-GGA; space-group type = P-1, No. 2
1.0
6.476 0.000 0.000
3.233 5.631 0.000
3.204 1.881 6.077
Tm Sb C
6 1 1
Cartesian
2.380 2.760 1.638
6.789 6.822 4.445
6.028 4.994 1.639
6.885 2.518 4.438
6.124 0.690 1.632
10.534 4.752 4.439
4.854 2.816 0.000
1.602 0.941 3.038

# 6
Tm4Sb2C, optimized geometry, DFT PBE-GGA; energy above the most stable polymorph in this dataset = 0 meV/atom; space-group type = I4/mmm, No. 139
1.0
4.714 0.000 0.000
0.000 4.714 0.000
0.000 0.000 15.515
Tm Sb C
8 4 2
Cartesian
0.000 0.000 2.425
0.000 0.000 13.090
0.000 2.357 0.000
0.000 2.357 7.758
2.357 0.000 0.000
2.357 0.000 7.758
2.357 2.357 5.332
2.357 2.357 10.183
0.000 0.000 5.541
0.000 0.000 9.975
2.357 2.357 2.217
2.357 2.357 13.299
0.000 0.000 0.000
2.357 2.357 7.758

| no. | DFT total energy (eV per atom) | raw formation energy (eV/atom) |
| --- | --- | --- |
| 1 | -5.996 | -0.4816 |
| 2 | -6.262 | -0.6894 |
| 3 | -5.969 | -0.7285 |
| 4 | -5.240 | -0.6283 |
| 5 | -5.220 | -0.1977 |
| 6 | -5.820 | -0.7697 |